1.
Material: CdHg2Sb
Method: DFT, PBE-GGA
State: relaxed

As for the total energy: -5.2 eV/cell.

a b c (Å): 5.2292 5.2292 6.1450
angles (deg): 98.52 98.52 38.47
With the nearest neighbours (Å) after each atom.
Positions (direct):
Cd1 0.0000 0.0000 0.0000  3 Sb 3.10-3.13, 5 Hg 3.13-3.41, 2 Cd 3.45
Hg1 0.4919 0.4919 0.4775  3 Hg 3.00-3.16, 1 Sb 3.11
Hg2 0.7399 0.7399 0.2509  3 Hg 3.00-3.16, 3 Cd 3.13-3.20
Sb1 0.2589 0.2589 0.7652  3 Cd 3.10-3.13, 5 Hg 3.11-3.48, 2 Sb 3.45


2.
Material: Nb2OsPd
Method: DFT, PBE-GGA
State: relaxed

Its formation energy is -22.7 kJ per mole of atoms.

a b c (Å): 2.9004 2.9004 7.8415
angles (deg): 90.00 90.00 90.00
With the nearest neighbours (Å) after each atom.
Positions (direct):
Nb1 0.0000 0.0000 0.2367  4 Os 2.77, 4 Nb 2.90, 4 Pd 2.91
Nb2 0.0000 0.0000 0.7633  4 Os 2.77, 4 Nb 2.90, 4 Pd 2.91
Os1 0.5000 0.5000 0.0000  8 Nb 2.77, 4 Os 2.90
Pd1 0.5000 0.5000 0.5000  4 Pd 2.90, 8 Nb 2.91


3.
Material: Nd5Tl4Cu
Method: DFT, PBE-GGA
State: relaxed

Its formation energy is -33.0 kJ per mole of atoms.

a b c (Å): 3.6905 3.6905 20.9431
angles (deg): 90.00 90.00 90.00
With the nearest neighbours (Å) after each atom.
Positions (direct):
Nd1 0.0000 0.0000 0.0000  8 Tl 3.40, 4 Nd 3.69
Nd2 0.0000 0.0000 0.2079  8 Tl 3.39-3.41, 4 Nd 3.69
Nd3 0.0000 0.0000 0.4165  4 Cu 3.14, 4 Tl 3.39, 1 Nd 3.50
Nd4 0.0000 0.0000 0.5835  4 Cu 3.14, 4 Tl 3.39, 1 Nd 3.50
Nd5 0.0000 0.0000 0.7921  8 Tl 3.39-3.41, 4 Nd 3.69
Tl1 0.5000 0.5000 0.1043  8 Nd 3.39-3.40, 4 Tl 3.69
Tl2 0.5000 0.5000 0.3130  8 Nd 3.39-3.41, 4 Tl 3.69
Tl3 0.5000 0.5000 0.6870  8 Nd 3.39-3.41, 4 Tl 3.69
Tl4 0.5000 0.5000 0.8957  8 Nd 3.39-3.40, 4 Tl 3.69
Cu1 0.5000 0.5000 0.5000  8 Nd 3.14


4.
Material: YBeCo4
Method: DFT, PBE-GGA
State: relaxed

Its formation energy is 0.9 kJ per mole of atoms.

a b c (Å): 4.8455 4.8455 4.8455
angles (deg): 60.00 60.00 60.00
With the nearest neighbours (Å) after each atom.
Positions (direct):
Y1 0.0000 0.0000 0.0000  12 Co 2.84, 4 Be 2.97
Be1 0.7500 0.7500 0.7500  12 Co 2.84, 4 Y 2.97
Co1 0.3764 0.3764 0.3764  6 Co 2.40-2.45
Co2 0.3764 0.3764 0.8709  6 Co 2.40-2.45
Co3 0.3764 0.8709 0.3764  6 Co 2.40-2.45
Co4 0.8709 0.3764 0.3764  6 Co 2.40-2.45


5.
Material: NaYPdAu
Method: DFT, PBE-GGA
State: relaxed

Its formation energy is -53.4 kJ per mole of atoms.

a b c (Å): 4.9329 4.9329 4.9329
angles (deg): 60.00 60.00 60.00
With the nearest neighbours (Å) after each atom.
Positions (direct):
Na1 0.0000 0.0000 0.0000  4 Pd 3.02, 4 Au 3.02
Y1 0.5000 0.5000 0.5000  4 Pd 3.02, 4 Au 3.02
Pd1 0.7500 0.7500 0.7500  4 Y 3.02, 4 Na 3.02
Au1 0.2500 0.2500 0.2500  4 Y 3.02, 4 Na 3.02


6.
Material: ErTl3Sb2Se6
Method: DFT, PBE-GGA
State: relaxed

As for the total energy: -49.2 eV/cell.

a b c (Å): 7.2904 7.2904 8.0337
angles (deg): 98.69 98.69 120.00
With the nearest neighbours (Å) after each atom.
Positions (direct):
Er1 0.0000 0.0000 0.0000  6 Se 2.87-2.88
Tl1 0.1663 0.8337 0.5000  6 Se 3.30-3.33
Tl2 0.5000 0.5000 0.5000  6 Se 3.30-3.34
Tl3 0.8337 0.1663 0.5000  6 Se 3.30-3.33
Sb1 0.3336 0.6664 0.0000  6 Se 2.90-2.91
Sb2 0.6664 0.3336 0.0000  6 Se 2.90-2.91
Se1 0.0689 0.3984 0.2066  1 Er 2.88, 2 Sb 2.91
Se2 0.2612 0.2612 0.7947  1 Er 2.87, 2 Sb 2.90
Se3 0.3984 0.0689 0.2066  1 Er 2.88, 2 Sb 2.91
Se4 0.6016 0.9311 0.7934  1 Er 2.88, 2 Sb 2.91
Se5 0.7388 0.7388 0.2053  1 Er 2.87, 2 Sb 2.90
Se6 0.9311 0.6016 0.7934  1 Er 2.88, 2 Sb 2.91